VASP calculation (PBE) on crystalline La2Hg2S at its relaxed geometry.

```
La2Hg2S
1.0
7.727 0.000 0.000
0.000 7.727 0.000
0.000 0.000 5.132
La Hg S
4 4 2
Cartesian
6.400 5.191 0.000 La
5.191 1.328 0.000 La
2.536 6.400 0.000 La
1.328 2.536 0.000 La
6.666 2.803 2.566 Hg
1.061 4.925 2.566 Hg
2.803 1.061 2.566 Hg
4.925 6.666 2.566 Hg
3.864 3.864 0.000 S
0.000 0.000 0.000 S
```

- Crystal system: tetragonal
- Magnetic moment: 0.00 μB per formula unit
- Formation energy without anion corrections: -0.878 eV/atom